(1)
Density functional theory data (PBE) for crystalline LiTlBiIr at its relaxed geometry.

Cell lengths 4.8296, 4.8296, 4.8296 Å; angles 60.00, 60.00, 60.00 degrees
Positions (direct):
Ir 0.2500 0.2500 0.2500
Li 0.7500 0.7500 0.7500
Bi 0.0000 0.0000 0.0000
Tl 0.5000 0.5000 0.5000

Total magnetization (μB per formula unit): 0.0
Relative energy among the computed polymorphs (meV per atom): 0


(2)
Density functional theory data (PBE) for crystalline NaTbMgTe3 at its relaxed geometry.

Cell lengths 8.8982, 4.4819, 10.7832 Å; angles 90.00, 105.63, 90.00 degrees
Positions (direct):
Te 0.4390 0.7500 0.1550
Te 0.2377 0.7500 0.5441
Te 0.0822 0.2500 0.8604
Te 0.5610 0.2500 0.8450
Te 0.7623 0.2500 0.4559
Te 0.9178 0.7500 0.1396
Na 0.8076 0.7500 0.8185
Na 0.1924 0.2500 0.1815
Tb 0.6731 0.2500 0.1427
Tb 0.3269 0.7500 0.8573
Mg 0.0819 0.2500 0.6035
Mg 0.9181 0.7500 0.3965

Total magnetization (μB per formula unit): 0.0
Relative energy among the computed polymorphs (meV per atom): 0


(3)
Density functional theory data (PBE) for crystalline NaTmSeO at its relaxed geometry.

Cell lengths 7.0388, 7.2518, 6.2783 Å; angles 90.00, 103.27, 90.00 degrees
Positions (direct):
Tm 0.5368 0.6244 0.2285
Tm 0.4632 0.3756 0.7715
Tm 0.5368 0.8756 0.7285
Tm 0.4632 0.1244 0.2715
O 0.6038 0.1526 0.6175
O 0.6038 0.3474 0.1175
O 0.3962 0.8474 0.3825
O 0.3962 0.6526 0.8825
Na 0.9009 0.2642 0.0023
Na 0.0991 0.7642 0.4977
Na 0.9009 0.2358 0.5023
Na 0.0991 0.7358 0.9977
Se 0.2121 0.0819 0.8340
Se 0.7879 0.9181 0.1660
Se 0.7879 0.5819 0.6660
Se 0.2121 0.4181 0.3340

Total magnetization (μB per formula unit): 0.0
Relative energy among the computed polymorphs (meV per atom): 29